Entry 1:
Here is an optimized crystal structure of HgSb2 from Alexandria. Energies are from GGA-PBEsol.

Cell: 4.209 4.209 5.427 Å, 90.00 90.00 120.00°
Sites, in units of the cell vectors:
1 Sb 0.333 0.667 0.345
2 Sb 0.667 0.333 0.655
3 Hg 0.000 0.000 0.000

## Properties
D(E_F): 1.011 states/eV/cell
spin magnetization: 0.00 μB/cell
formation energy without anion corrections: 0.07 eV per formula unit
E above lowest polymorph: 0.000 eV/atom

---

Entry 2:
Here is an optimized crystal structure of HgSb2 from Alexandria. Energies are from GGA-PBEsol.

Cell: 4.386 4.970 8.045 Å, 90.00 90.00 90.00°
Sites, in units of the cell vectors:
1 Hg 0.000 0.000 0.000
2 Hg 0.500 0.500 0.500
3 Sb 0.000 0.202 0.625
4 Sb 0.000 0.798 0.375
5 Sb 0.500 0.702 0.875
6 Sb 0.500 0.298 0.125

## Properties
D(E_F): 1.810 states/eV/cell
spin magnetization: 0.00 μB/cell
formation energy without anion corrections: 0.47 eV per formula unit
E above lowest polymorph: 0.134 eV/atom

---

Entry 3:
Here is an optimized crystal structure of Hg3Sb from Alexandria. Energies are from GGA-PBEsol.

Cell: 3.163 5.371 6.769 Å, 116.38 103.51 90.00°
Sites, in units of the cell vectors:
1 Sb 0.000 0.000 0.000
2 Hg 0.500 0.500 0.000
3 Hg 0.748 0.749 0.496
4 Hg 0.252 0.251 0.504

## Properties
D(E_F): 1.875 states/eV/cell
spin magnetization: 0.00 μB/cell
formation energy without anion corrections: 0.23 eV per formula unit